First-principles (PBE) data for Na2LiPaO4 after structural relaxation, as listed in Alexandria via LeMat-Bulk.

Lattice parameters (Å, degrees): 5.4364 3.5506 5.7693 90.00 105.21 90.00
With the nearest neighbours (Å) after each atom.
Space group P2/m (No. 10)
Asymmetric unit:
1 Na 0.0000 0.0000 0.0000 x1  6 O 2.40-2.65
2 Na 0.5000 0.5000 0.0000 x1  6 O 2.38-2.48
3 Li 0.0000 0.5000 0.5000 x1  2 O 2.10
4 Pa 0.5000 0.0000 0.5000 x1  6 O 2.05-2.29
5 O 0.2671 0.0000 0.7288 x2  1 Pa 2.05
6 O 0.2735 0.5000 0.3014 x2  1 Li 2.10, 2 Pa 2.29

Properties
VASP energy ... -6.7988 eV per atom